# 1
Computed, not measured: a relaxed DyAgHgAu crystal at the PBE level of DFT.

Computed properties:
The calculation puts the spin magnetization at 0.0 μB per cell. As for the symmetry: I-4m2, No. 119. The total DFT energy (no corrections) is -12.9 eV/cell. For the formation energy, the calculation gives -0.455 eV per atom. For the energy above the most stable polymorph in this dataset, the calculation gives 0.000 eV per atom.

Cell and atoms, written as POSCAR:
```
DyAgHgAu
1.0
4.6658 0.0000 0.0000
0.0000 4.6658 0.0001
-2.3329 -2.3319 3.9368
Au Dy Ag Hg
1 1 1 1
Direct
0.0000 0.0001 0.0000
0.2500 0.7500 0.5000
0.7500 0.2500 0.5000
0.5000 0.4999 0.0000
```

# 2
Computed, not measured: a relaxed AlMo3C crystal at the PBE level of DFT.

Computed properties:
The calculation puts the spin magnetization at 0.0 μB per cell. As for the symmetry: Pm-3m, No. 221. The total DFT energy (no corrections) is -45.3 eV/cell. For the formation energy, the calculation gives 0.025 eV per atom. For the energy above the most stable polymorph in this dataset, the calculation gives 0.000 eV per atom.

Cell and atoms, written as POSCAR:
```
AlMo3C
1.0
4.1538 0.0000 0.0000
0.0000 4.1538 0.0000
0.0000 0.0000 4.1538
Mo Al C
3 1 1
Direct
0.5000 0.0000 0.0000
0.0000 0.0000 0.5000
0.0000 0.5000 0.0000
0.5000 0.5000 0.5000
0.0000 0.0000 0.0000
```